(1)
The following is a DFT calculation (PBE) of an optimized crystal structure of Zr2Al2Cu2IrPt.

Results
Crystal system = tetragonal
Final energy = -52.42 eV/cell

abc: 4.490 4.490 6.350
angles: 90.00 90.00 90.00
Space group P-4m2 (No. 115)
One atom of each set of equivalent atoms:
1 Zr 0.000 0.500 0.247 x2
2 Al 0.000 0.500 0.752 x2
3 Cu 0.000 0.000 0.000 x1
4 Cu 0.500 0.500 0.500 x1
5 Ir 0.500 0.500 0.000 x1
6 Pt 0.000 0.000 0.500 x1

(2)
The following is a DFT calculation (PBE) of an optimized crystal structure of FeSiTcNi.

Results
Crystal system = cubic
Final energy = -121.61 eV/cell
Excess energy over the best structure of this formula in the dataset = 50.6 meV per atom

abc: 5.765 5.765 5.765
angles: 90.00 90.00 90.00
Space group F-43m (No. 216)
One atom of each set of equivalent atoms:
1 Fe 0.000 0.000 0.000 x4
2 Si 0.250 0.250 0.750 x4
3 Tc 0.000 0.000 0.500 x4
4 Ni 0.250 0.250 0.250 x4

(3)
The following is a DFT calculation (PBE) of an optimized crystal structure of Ag2Bi2S3Cl2.

Results
Crystal system = triclinic
Final energy = -135.55 eV/cell

abc: 7.280 11.087 11.409
angles: 74.88 89.74 88.05
Space group P-1 (No. 2)
One atom of each set of equivalent atoms:
1 Ag 0.012 0.293 0.300 x2
2 Ag 0.244 0.495 0.147 x2
3 Ag 0.245 0.506 0.648 x2
4 Ag 0.484 0.688 0.206 x2
5 Bi 0.075 0.801 0.340 x2
6 Bi 0.114 0.204 0.986 x2
7 Bi 0.388 0.799 0.842 x2
8 Bi 0.424 0.200 0.488 x2
9 S 0.006 0.368 0.779 x2
10 S 0.096 0.653 0.912 x2
11 S 0.117 0.343 0.486 x2
12 S 0.376 0.655 0.416 x2
13 S 0.403 0.348 0.986 x2
14 S 0.494 0.634 0.718 x2
15 Cl 0.221 0.907 0.568 x2
16 Cl 0.237 0.899 0.061 x2
17 Cl 0.263 0.095 0.263 x2
18 Cl 0.289 0.105 0.764 x2

(4)
The following is a DFT calculation (PBE) of an optimized crystal structure of TmPuIn.

Results
Crystal system = cubic
Final energy = -83.75 eV/cell
Excess energy over the best structure of this formula in the dataset = 0.0 meV per atom

abc: 7.247 7.247 7.247
angles: 90.00 90.00 90.00
Space group F-43m (No. 216)
One atom of each set of equivalent atoms:
1 Tm 0.000 0.000 0.000 x4
2 Pu 0.000 0.000 0.500 x4
3 In 0.250 0.250 0.250 x4

(5)
The following is a DFT calculation (PBE) of an optimized crystal structure of PmSi2Tc4.

Results
Crystal system = orthorhombic
Final energy = -121.25 eV/cell

abc: 4.135 13.882 4.120
angles: 90.00 90.00 90.00
Space group Cmmm (No. 65)
One atom of each set of equivalent atoms:
1 Pm 0.000 0.000 0.000 x2
2 Si 0.000 0.410 0.500 x4
3 Tc 0.000 0.190 0.500 x4
4 Tc 0.000 0.304 0.000 x4

(6)
The following is a DFT calculation (PBE) of an optimized crystal structure of IrPtNO.

Results
Crystal system = orthorhombic
Final energy = -54.07 eV/cell
Excess energy over the best structure of this formula in the dataset = 0.0 meV per atom

abc: 2.764 7.128 5.467
angles: 90.00 90.00 90.00
Space group Pmc2_1 (No. 26)
One atom of each set of equivalent atoms:
1 Ir 0.000 0.159 0.000 x2
2 Pt 0.500 0.496 0.551 x2
3 N 0.500 0.291 0.799 x2
4 O 0.000 0.083 0.334 x2

(7)
The following is a DFT calculation (PBE) of an optimized crystal structure of ZrB.

Results
Crystal system = monoclinic
Final energy = -92.87 eV/cell

abc: 5.544 4.991 6.401
angles: 90.00 95.14 90.00
Space group P2_1/m (No. 11)
One atom of each set of equivalent atoms:
1 Zr 0.153 0.250 0.164 x2
2 Zr 0.183 0.250 0.639 x2
3 Zr 0.346 0.750 0.990 x2
4 B 0.176 0.750 0.625 x2
5 B 0.289 0.750 0.389 x2
6 B 0.477 0.750 0.620 x2

(8)
The following is a DFT calculation (PBE) of an optimized crystal structure of TaCoSbOs.

Results
Crystal system = cubic
Final energy = -130.96 eV/cell
Excess energy over the best structure of this formula in the dataset = 241.6 meV per atom

abc: 6.361 6.361 6.361
angles: 90.00 90.00 90.00
Space group F-43m (No. 216)
One atom of each set of equivalent atoms:
1 Ta 0.000 0.000 0.000 x4
2 Co 0.000 0.000 0.500 x4
3 Sb 0.250 0.250 0.250 x4
4 Os 0.250 0.250 0.750 x4

(9)
The following is a DFT calculation (PBE) of an optimized crystal structure of Ac2Pr2O5.

Results
Crystal system = tetragonal
Final energy = -62.68 eV/cell
Excess energy over the best structure of this formula in the dataset = 308.7 meV per atom

abc: 4.535 4.535 8.196
angles: 90.00 90.00 90.00
Space group P4/mmm (No. 123)
One atom of each set of equivalent atoms:
1 Ac 0.000 0.000 0.226 x2
2 Pr 0.500 0.500 0.000 x1
3 Pr 0.500 0.500 0.500 x1
4 O 0.000 0.000 0.500 x1
5 O 0.000 0.500 0.297 x4

(10)
The following is a DFT calculation (PBE) of an optimized crystal structure of CsDyFeSe3.

Results
Crystal system = monoclinic
Final energy = -120.62 eV/cell

abc: 17.427 4.312 9.327
angles: 90.00 101.31 90.00
Space group C2/m (No. 12)
One atom of each set of equivalent atoms:
1 Cs 0.155 0.000 0.060 x4
2 Dy 0.163 0.000 0.568 x4
3 Fe 0.001 0.500 0.731 x4
4 Se 0.000 0.000 0.500 x2
5 Se 0.000 0.500 0.000 x2
6 Se 0.147 0.500 0.759 x4
7 Se 0.164 0.500 0.361 x4

(11)
The following is a DFT calculation (PBE) of an optimized crystal structure of AcU.

Results
Energy relative to the elements = 3.09 eV per formula unit
Crystal system = cubic
Final energy = -49.26 eV/cell
Excess energy over the best structure of this formula in the dataset = 701.5 meV per atom

abc: 6.662 6.662 6.662
angles: 90.00 90.00 90.00
Space group Fm-3m (No. 225)
One atom of each set of equivalent atoms:
1 Ac 0.000 0.000 0.000 x4
2 U 0.000 0.000 0.500 x4

(12)
The following is a DFT calculation (PBE) of an optimized crystal structure of Zn2CdTe2F2.

Results
Crystal system = tetragonal
Final energy = -19.56 eV/cell

abc: 3.780 3.780 9.492
angles: 90.00 90.00 90.00
Space group P-4m2 (No. 115)
One atom of each set of equivalent atoms:
1 Zn 0.000 0.500 0.132 x2
2 Cd 0.000 0.000 0.500 x1
3 Te 0.000 0.500 0.721 x2
4 F 0.000 0.000 0.000 x1
5 F 0.500 0.500 0.000 x1

(13)
The following is a DFT calculation (PBE) of an optimized crystal structure of K3AgBr6.

Results
Crystal system = cubic
Final energy = -103.21 eV/cell

abc: 11.450 11.450 11.450
angles: 90.00 90.00 90.00
Space group Fm-3m (No. 225)
One atom of each set of equivalent atoms:
1 K 0.000 0.000 0.000 x4
2 K 0.250 0.250 0.250 x8
3 Ag 0.000 0.000 0.500 x4
4 Br 0.000 0.000 0.268 x24

(14)
The following is a DFT calculation (PBE) of an optimized crystal structure of ErHgB.

Results
Crystal system = cubic
Final energy = -46.80 eV/cell

abc: 6.069 6.069 6.069
angles: 90.00 90.00 90.00
Space group F-43m (No. 216)
One atom of each set of equivalent atoms:
1 Er 0.000 0.000 0.000 x4
2 Hg 0.000 0.000 0.500 x4
3 B 0.250 0.250 0.250 x4

(15)
The following is a DFT calculation (PBE) of an optimized crystal structure of GdMgZn.

Results
Crystal system = monoclinic
Final energy = -29.00 eV/cell

abc: 8.133 3.275 11.250
angles: 90.00 95.71 90.00
Space group Cm (No. 8)
One atom of each set of equivalent atoms:
1 Gd 0.000 0.000 0.000 x2
2 Gd 0.245 0.000 0.754 x2
3 Mg 0.208 0.000 0.447 x2
4 Mg 0.463 0.000 0.279 x2
5 Zn 0.012 0.500 0.577 x2
6 Zn 0.231 0.500 0.164 x2

(16)
The following is a DFT calculation (PBE) of an optimized crystal structure of FeCoMo.

Results
Energy relative to the elements = 1.66 eV per formula unit
Crystal system = cubic
Final energy = -98.40 eV/cell
Excess energy over the best structure of this formula in the dataset = 0.0 meV per atom

abc: 5.575 5.575 5.575
angles: 90.00 90.00 90.00
Space group F-43m (No. 216)
One atom of each set of equivalent atoms:
1 Fe 0.000 0.000 0.000 x4
2 Co 0.250 0.250 0.250 x4
3 Mo 0.000 0.000 0.500 x4

(17)
The following is a DFT calculation (PBE) of an optimized crystal structure of ScReB.

Results
Crystal system = cubic
Final energy = -80.87 eV/cell
Excess energy over the best structure of this formula in the dataset = 2185.7 meV per atom

abc: 5.883 5.883 5.883
angles: 90.00 90.00 90.00
Space group F-43m (No. 216)
One atom of each set of equivalent atoms:
1 Sc 0.000 0.000 0.000 x4
2 Re 0.250 0.250 0.250 x4
3 B 0.250 0.250 0.750 x4

(18)
The following is a DFT calculation (PBE) of an optimized crystal structure of Dy2AlZn.

Results
Crystal system = tetragonal
Final energy = -15.75 eV/cell

abc: 3.559 3.559 7.251
angles: 90.00 90.00 90.00
Space group P4/mmm (No. 123)
One atom of each set of equivalent atoms:
1 Dy 0.000 0.000 0.245 x2
2 Al 0.500 0.500 0.500 x1
3 Zn 0.500 0.500 0.000 x1

(19)
The following is a DFT calculation (PBE) of an optimized crystal structure of ZrFeCoSi.

Results
Crystal system = cubic
Final energy = -120.32 eV/cell
Excess energy over the best structure of this formula in the dataset = 283.0 meV per atom

abc: 6.097 6.097 6.097
angles: 90.00 90.00 90.00
Space group F-43m (No. 216)
One atom of each set of equivalent atoms:
1 Zr 0.000 0.000 0.000 x4
2 Fe 0.250 0.250 0.750 x4
3 Co 0.000 0.000 0.500 x4
4 Si 0.250 0.250 0.250 x4

(20)
The following is a DFT calculation (PBE) of an optimized crystal structure of Na2In4AgPd.

Results
Crystal system = orthorhombic
Final energy = -47.02 eV/cell

abc: 8.089 4.466 10.367
angles: 90.00 90.00 90.00
Space group Amm2 (No. 38)
One atom of each set of equivalent atoms:
1 Na 0.000 0.000 0.000 x2
2 Na 0.500 0.000 0.139 x2
3 In 0.190 0.000 0.711 x4
4 In 0.295 0.000 0.427 x4
5 Ag 0.500 0.000 0.852 x2
6 Pd 0.000 0.000 0.286 x2